Entry from Alexandria: a relaxed K3BiSb2O8 crystal (PBE-GGA).

Values from the calculation:
**Formation energy without anion corrections**: -1440 meV/atom
**Energy**: -5.37 eV/atom
**Total magnetic moment**: 0.000 μB/f.u.
**Theoretical density**: 4.39 g/cm³

Geometry as CIF:
```
data_K3BiSb2O8
_chemical_formula_sum 'K3 Bi1 Sb2 O8'
_cell_length_a 6.2226
_cell_length_b 6.2226
_cell_length_c 7.8699
_cell_angle_alpha 90.00
_cell_angle_beta 90.00
_cell_angle_gamma 120.00
_symmetry_space_group_name_H-M 'P -3 m 1'
_symmetry_Int_Tables_number 164
_symmetry_space_group_name_Hall '-P 3 2"'
loop_
_atom_site_label
_atom_site_type_symbol
_atom_site_fract_x
_atom_site_fract_y
_atom_site_fract_z
K1 K 0.0000 0.0000 0.0000
K2 K 0.3333 0.6667 0.6654
Bi1 Bi 0.0000 0.0000 0.5000
Sb1 Sb 0.3333 0.6667 0.2186
O1 O 0.1699 0.3399 0.3170
O2 O 0.3333 0.6667 0.9817
```

---

Entry from Alexandria: a relaxed GaAgSb2Au4 crystal (PBE-GGA).

Values from the calculation:
**Formation energy without anion corrections**: 11 meV/atom
**Energy**: -3.39 eV/atom
**Total magnetic moment**: 0.000 μB/f.u.
**Theoretical density**: 11.37 g/cm³

Geometry as CIF:
```
data_GaAgSb2Au4
_chemical_formula_sum 'Ga4 Ag4 Sb8 Au16'
_cell_length_a 7.928
_cell_length_b 7.946
_cell_length_c 11.207
_cell_angle_alpha 90.00
_cell_angle_beta 90.00
_cell_angle_gamma 90.00
_symmetry_space_group_name_H-M 'I m m a'
_symmetry_Int_Tables_number 74
_symmetry_space_group_name_Hall '-I 2b 2'
loop_
_atom_site_label
_atom_site_type_symbol
_atom_site_fract_x
_atom_site_fract_y
_atom_site_fract_z
Ga1 Ga 0.000 0.000 0.000
Ag1 Ag 0.250 0.250 0.250
Sb1 Sb 0.000 0.000 0.500
Sb2 Sb 0.250 0.250 0.750
Au1 Au 0.000 0.004 0.241
Au2 Au 0.232 0.250 0.002
```